# 1
Entry from Alexandria: a relaxed B7C5 crystal (PBE).

The space group is Cm (No. 8) and the conventional cell measures 12.918, 2.445 and 5.321 Å, with angles of 90.00, 100.87 and 90.00 degrees. Symmetry generates all atoms from B at (0.000, 0.000, 0.000), B at (0.000, 0.000, 0.428), B at (0.077, 0.000, 0.737), B at (0.172, 0.500, 0.826), B at (0.247, 0.500, 0.563), B at (0.394, 0.000, 0.921), B at (0.397, 0.000, 0.407), C at (0.094, 0.000, 0.257), C at (0.162, 0.500, 0.292), C at (0.247, 0.500, 0.102), C at (0.314, 0.000, 0.127) and C at (0.328, 0.000, 0.631).

The density of states at the Fermi level is 0.15 states/eV per atom. Its formation energy is 0.4526 eV/atom. The calculation puts the energy above the most stable polymorph in this dataset at 27.8 kJ per mole of atoms.


# 2
Entry from Alexandria: a relaxed B7C5 crystal (PBE).

The space group is Cm (No. 8) and the conventional cell measures 13.991, 2.628 and 4.752 Å, with angles of 90.00, 108.26 and 90.00 degrees. Symmetry generates all atoms from B at (0.000, 0.000, 0.000), B at (0.000, 0.500, 0.444), B at (0.143, 0.000, 0.088), B at (0.274, 0.500, 0.359), B at (0.286, 0.000, 0.945), B at (0.331, 0.000, 0.615), B at (0.453, 0.000, 0.754), C at (0.125, 0.500, 0.577), C at (0.154, 0.500, 0.283), C at (0.163, 0.000, 0.762), C at (0.337, 0.500, 0.126) and C at (0.449, 0.500, 0.254).

The density of states at the Fermi level is 0.22 states/eV per atom. Its formation energy is 0.4920 eV/atom. The calculation puts the energy above the most stable polymorph in this dataset at 31.6 kJ per mole of atoms.


# 3
Entry from Alexandria: a relaxed BC crystal (PBE).

The space group is C2/m (No. 12) and the conventional cell measures 12.123, 2.681 and 5.302 Å, with angles of 90.00, 105.35 and 90.00 degrees. Symmetry generates all atoms from B at (0.059, 0.000, 0.435), B at (0.076, 0.000, 0.822), B at (0.209, 0.500, 0.721), C at (0.130, 0.500, 0.938), C at (0.131, 0.500, 0.419) and C at (0.197, 0.500, 0.222).

The density of states at the Fermi level is 0.22 states/eV per atom. Its formation energy is 0.2897 eV/atom. The calculation puts the energy above the most stable polymorph in this dataset at 13.4 kJ per mole of atoms.


# 4
Entry from Alexandria: a relaxed BC crystal (PBE).

The space group is Pmm2 (No. 25) and the conventional cell measures 2.388, 2.549 and 8.720 Å, with angles of 90.00, 90.00 and 90.00 degrees. Symmetry generates all atoms from B at (0.000, 0.000, 0.000), B at (0.000, 0.000, 0.454), B at (0.500, 0.000, 0.842), B at (0.500, 0.500, 0.692), C at (0.000, 0.500, 0.114), C at (0.000, 0.500, 0.563), C at (0.500, 0.000, 0.319) and C at (0.500, 0.500, 0.220).

The density of states at the Fermi level is 0.06 states/eV per atom. Its formation energy is 0.3860 eV/atom. The calculation puts the energy above the most stable polymorph in this dataset at 22.7 kJ per mole of atoms.


Q: Among the records above, which one has the highest energy above the most stable polymorph in this dataset?
A: number 2